(1)
Material: ZrRhS3
Method: DFT, PBE
State: relaxed

The structure in POSCAR format:
```
ZrRhS3
1.0
-0.121 4.319 -1.458
-3.627 0.793 2.648
2.762 1.230 3.414
S Rh Zr
3 1 1
Cartesian
-1.814 0.396 1.324
1.381 0.615 1.707
-0.060 2.160 -0.729
0.000 0.000 0.000
-0.493 3.171 2.302
```

Crystal system   cubic
SG   No. 221
Polymorph energy (0 for the lowest one)   0.0000 eV/atom
E_form (uncorrected)   -0.10 eV per atom

(2)
Material: Ti3Cu2Pd2
Method: DFT, PBE
State: relaxed

The structure in POSCAR format:
```
Ti3Cu2Pd2
1.0
-5.485 -0.235 2.060
5.601 -4.169 -2.253
2.973 -0.267 7.886
Ti Cu Pd
6 4 4
Cartesian
1.544 -2.335 3.847
0.000 0.000 0.000
2.290 -2.156 0.198
5.603 -4.416 3.381
-2.514 -0.255 4.313
0.798 -2.515 7.496
-1.042 -2.397 3.706
-0.660 -0.374 8.139
3.749 -4.297 -0.445
4.131 -2.273 3.987
-2.944 -0.381 6.938
3.207 -2.403 6.394
-0.118 -2.268 1.300
6.033 -4.289 0.756
```

Crystal system   orthorhombic
SG   No. 53
Polymorph energy (0 for the lowest one)   0.0535 eV/atom
DFT formation energy   -192 meV/atom

(3)
Material: Re3Sb
Method: DFT, PBE
State: relaxed

The structure in POSCAR format:
```
Re3Sb
1.0
-1.961 5.457 -0.094
-4.900 -1.751 0.565
0.854 0.459 8.828
Re Sb
12 4
Cartesian
-3.981 -0.389 7.106
-4.080 2.577 2.494
-1.927 1.587 6.805
-2.026 4.554 2.193
-2.028 3.507 8.911
-1.186 0.577 0.122
-5.241 3.362 4.837
-3.560 0.883 4.728
-3.979 0.658 0.388
-4.822 3.588 9.177
-0.766 0.802 4.462
-2.448 3.281 4.571
-5.176 1.944 7.101
-2.683 -0.320 2.510
-3.325 4.485 6.789
-0.831 2.220 2.199
```

Crystal system   orthorhombic
SG   No. 62
Polymorph energy (0 for the lowest one)   0.0227 eV/atom
E_form (uncorrected)   0.44 eV per atom

(4)
Material: K2CdIO
Method: DFT, PBE
State: relaxed

The structure in POSCAR format:
```
K2CdIO
1.0
5.797 0.000 0.000
0.000 5.797 0.000
0.000 0.000 4.507
I K O Cd
1 2 1 1
Cartesian
2.899 2.899 2.253
0.000 2.899 0.000
2.899 0.000 0.000
0.000 0.000 0.000
0.000 0.000 2.253
```

Crystal system   tetragonal
SG   No. 123
E_form (uncorrected)   -1.03 eV per atom

(5)
Material: LiGe2Pt
Method: DFT, PBE
State: relaxed

The structure in POSCAR format:
```
LiGe2Pt
1.0
-0.630 -2.558 1.835
-0.246 -1.825 -2.630
6.467 -1.353 0.334
Ge Pt Li
2 1 1
Cartesian
5.027 -1.051 0.260
1.440 -0.301 0.074
-0.438 -2.192 -0.397
2.795 -2.868 -0.230
```

Crystal system   tetragonal
SG   No. 123
Polymorph energy (0 for the lowest one)   0.1935 eV/atom
DFT formation energy   -285 meV/atom

(6)
Material: Rb3Np2Se7
Method: DFT, PBE
State: relaxed

The structure in POSCAR format:
```
Rb3Np2Se7
1.0
-3.641 -3.846 1.218
3.412 -3.838 -1.918
3.806 0.625 13.351
Rb Np Se
3 2 7
Cartesian
-0.114 -3.842 -0.350
1.955 -4.327 4.302
1.623 -2.732 8.349
6.109 -2.953 8.937
1.109 -0.260 2.496
4.426 -1.039 9.947
5.049 -2.704 6.555
7.219 -3.213 11.432
2.793 -2.174 1.486
-0.736 -2.177 3.049
4.314 -4.882 9.602
2.170 -0.509 4.878
```

Crystal system   monoclinic
SG   No. 10
E_form (uncorrected)   -1.03 eV per atom

Result set for N(E_F): 0.37 0.76 0.51 0.12 0.25 1.09 states/eV/atom, one per record in the order listed.